Crystalline NaAgPbSe3 at its relaxed geometry. Source: the Open Quantum Materials Database, functional PBE-GGA.

Cell: 4.095 12.697 11.380 Å, 90.00 90.00 90.00°
Space group Cmcm (No. 63)
Asymmetric unit:
1 Na 0.000 0.222 0.250
2 Ag 0.000 0.085 0.750
3 Pb 0.000 0.500 0.000
4 Se 0.000 0.165 0.534
5 Se 0.000 0.447 0.750

The value obtained for the calculated volume is 24.65 Å³/atom. The calculation puts the electronic total energy at -81.722 eV for the cell shown.